Below is Ba6HIr2I3 after structural relaxation, with properties calculated at the GGA-PBE level.

a = 7.868 Å, b = 7.868 Å, c = 8.980 Å
α = 98.40°, β = 98.40°, γ = 119.98°
Sites, in units of the cell vectors:
Ba (0.094, 0.435, 0.804)
Ba (0.225, 0.225, 0.196)
Ba (0.435, 0.094, 0.804)
Ba (0.565, 0.906, 0.196)
Ba (0.775, 0.775, 0.804)
Ba (0.906, 0.565, 0.196)
H (0.500, 0.500, 0.000)
Ir (0.167, 0.833, 0.000)
Ir (0.833, 0.167, 0.000)
I (0.000, 0.000, 0.500)
I (0.333, 0.667, 0.500)
I (0.667, 0.333, 0.500)

Output
The calculation puts the energy at -0.28825 Ry per atom. Its space group is No. 12.